Record 1
6
Lattice="4.237 0.000 0.000 0.000 4.486 0.000 0.000 0.000 7.860" Properties=species:S:1:pos:R:3 comment="SrThAl4 | the Alexandria database | PBE | optimized geometry" space_group="Pmmm (47)" vol_a3_per_cell=149 dft_energy_ev_per_atom=-4.31 dos_ef_per_ev_atom=0.5605 pbc="T T T"
Sr 0.000 0.000 0.000
Th 0.000 2.243 3.930
Al 2.119 0.000 2.669
Al 2.119 0.000 5.191
Al 2.119 2.243 1.359
Al 2.119 2.243 6.501



Record 2
8
Lattice="-1.799 2.491 9.715 1.799 -2.491 9.715 1.799 2.491 -9.715" Properties=species:S:1:pos:R:3 comment="Tm3Zn3Cd2 | the Alexandria database | PBE | optimized geometry" space_group="Immm (71)" vol_a3_per_cell=174 dft_energy_ev_per_atom=-2.66 dos_ef_per_ev_atom=0.5573 pbc="T T T"
Tm 0.000 0.000 0.000
Tm 1.799 0.000 7.264
Tm 0.000 2.491 2.451
Zn 1.799 0.000 2.345
Zn 0.000 0.000 9.715
Zn 0.000 2.491 7.370
Cd 0.000 0.000 4.579
Cd 0.000 0.000 14.852



Record 3
12
Lattice="2.901 -2.900 0.000 2.901 2.900 0.000 -2.831 0.000 11.043" Properties=species:S:1:pos:R:3 comment="KRb2Li2F7 | the Alexandria database | PBE | optimized geometry" space_group="C2/m (12)" vol_a3_per_cell=186 dft_energy_ev_per_atom=-3.98 dos_ef_per_ev_atom=1.4929 pbc="T T T"
K 0.000 0.000 0.000
Rb 0.031 0.000 3.998
Rb 2.940 0.000 7.045
Li 0.050 0.000 9.014
Li 2.921 0.000 2.028
F 1.473 1.449 1.985
F 0.034 0.000 6.902
F 1.499 1.449 9.058
F 2.901 0.000 0.000
F 1.473 -1.449 1.985
F 2.937 0.000 4.141
F 1.499 -1.449 9.058



Record 4
6
Lattice="-2.173 2.455 6.796 2.173 -2.455 6.796 2.173 2.455 -6.796" Properties=species:S:1:pos:R:3 comment="BaBP | the Alexandria database | PBE | optimized geometry" space_group="Immm (71)" vol_a3_per_cell=145 dft_energy_ev_per_atom=-5.25 dos_ef_per_ev_atom=0.1015 pbc="T T T"
Ba 0.000 0.000 1.912
Ba 0.000 0.000 11.679
B 0.813 2.455 0.000
B 1.360 0.000 6.796
P 0.000 0.000 5.333
P 0.000 0.000 8.259



Record 5
12
Lattice="5.187 0.000 0.000 0.000 5.187 0.000 0.000 0.000 15.583" Properties=species:S:1:pos:R:3 comment="PmPr9Tm2 | the Alexandria database | PBE | optimized geometry" space_group="P4/mmm (123)" vol_a3_per_cell=419 dft_energy_ev_per_atom=-4.71 dos_ef_per_ev_atom=1.6888 pbc="T T T"
Pm 0.000 0.000 0.000
Pr 0.000 2.593 2.633
Pr 0.000 2.593 7.792
Pr 0.000 2.593 12.950
Pr 2.593 0.000 2.633
Pr 2.593 0.000 7.792
Pr 2.593 0.000 12.950
Pr 2.593 2.593 0.000
Pr 2.593 2.593 5.224
Pr 2.593 2.593 10.359
Tm 0.000 0.000 5.216
Tm 0.000 0.000 10.367



Record 6
10
Lattice="6.441 0.000 0.000 0.000 6.441 0.000 0.000 0.000 2.687" Properties=species:S:1:pos:R:3 comment="Be2Cu2P | the Alexandria database | PBE | optimized geometry" space_group="P4/mbm (127)" vol_a3_per_cell=111 dft_energy_ev_per_atom=-3.98 dos_ef_per_ev_atom=0.3532 pbc="T T T"
Be 0.910 2.310 0.000
Be 2.310 5.531 0.000
Be 4.131 0.910 0.000
Be 5.531 4.131 0.000
Cu 0.966 4.186 1.343
Cu 2.255 0.966 1.343
Cu 4.186 5.476 1.343
Cu 5.476 2.255 1.343
P 0.000 0.000 0.000
P 3.221 3.221 0.000



So what do the calculations give for spin magnetization? Going down the list: 0.0, 0.0, 2.0, 0.0, 0.0, 0.0 μB per cell.